VASP calculation (GGA-PBE) on a geometry-optimized CaAcPrSm structure.

Computed properties:
The value obtained for the total DFT energy (no corrections) is -15.43 eV/cell. The energy relative to the elements comes out at 0.177 eV per formula unit. Its size of the total moment is 0.00 μB/atom. As for the crystal system: tetragonal. Its polymorph energy (0 for the lowest one) is 0.00 eV/f.u.

Cell lengths 3.813, 3.813, 10.758 Å; angles 90.00, 90.00, 90.00 degrees
Space group P4mm (No. 99)
Symmetry-distinct sites (fractional):
Ca 0.000 0.000 0.000 x1
Ac 0.500 0.500 0.724 x1
Pr 0.000 0.000 0.471 x1
Sm 0.500 0.500 0.250 x1